1.
GdHoPuTh: optimized geometry, PBE-GGA.

Lattice parameters (Å, degrees): 7.8787 7.8787 7.8787 90.00 90.00 90.00
Closest atoms and distances in Å follow each position.
Fractional positions:
Gd: 0.0000 0.0000 0.0000  4 Ho 3.41, 4 Pu 3.41
Gd: 0.0000 0.5000 0.5000  4 Ho 3.41, 4 Pu 3.41
Gd: 0.5000 0.0000 0.5000  4 Ho 3.41, 4 Pu 3.41
Gd: 0.5000 0.5000 0.0000  4 Ho 3.41, 4 Pu 3.41
Ho: 0.2500 0.2500 0.7500  4 Gd 3.41, 4 Th 3.41
Ho: 0.2500 0.7500 0.2500  4 Gd 3.41, 4 Th 3.41
Ho: 0.7500 0.2500 0.2500  4 Gd 3.41, 4 Th 3.41
Ho: 0.7500 0.7500 0.7500  4 Gd 3.41, 4 Th 3.41
Pu: 0.2500 0.2500 0.2500  4 Gd 3.41, 4 Th 3.41
Pu: 0.2500 0.7500 0.7500  4 Gd 3.41, 4 Th 3.41
Pu: 0.7500 0.2500 0.7500  4 Gd 3.41, 4 Th 3.41
Pu: 0.7500 0.7500 0.2500  4 Gd 3.41, 4 Th 3.41
Th: 0.0000 0.0000 0.5000  4 Ho 3.41, 4 Pu 3.41
Th: 0.0000 0.5000 0.0000  4 Ho 3.41, 4 Pu 3.41
Th: 0.5000 0.0000 0.0000  4 Ho 3.41, 4 Pu 3.41
Th: 0.5000 0.5000 0.5000  4 Ho 3.41, 4 Pu 3.41

As for the space-group type: F-43m (216). For the total magnetization, the calculation gives 60.66 μB/cell.

---

2.
GdHoTmPu: optimized geometry, PBE-GGA.

Lattice parameters (Å, degrees): 7.8579 7.8579 7.8579 90.00 90.00 90.00
Closest atoms and distances in Å follow each position.
Fractional positions:
Gd: 0.0000 0.0000 0.0000  4 Tm 3.40, 4 Ho 3.40
Gd: 0.0000 0.5000 0.5000  4 Tm 3.40, 4 Ho 3.40
Gd: 0.5000 0.0000 0.5000  4 Tm 3.40, 4 Ho 3.40
Gd: 0.5000 0.5000 0.0000  4 Tm 3.40, 4 Ho 3.40
Ho: 0.2500 0.2500 0.2500  4 Gd 3.40, 4 Pu 3.40
Ho: 0.2500 0.7500 0.7500  4 Gd 3.40, 4 Pu 3.40
Ho: 0.7500 0.2500 0.7500  4 Gd 3.40, 4 Pu 3.40
Ho: 0.7500 0.7500 0.2500  4 Gd 3.40, 4 Pu 3.40
Tm: 0.2500 0.2500 0.7500  4 Gd 3.40, 4 Pu 3.40
Tm: 0.2500 0.7500 0.2500  4 Gd 3.40, 4 Pu 3.40
Tm: 0.7500 0.2500 0.2500  4 Gd 3.40, 4 Pu 3.40
Tm: 0.7500 0.7500 0.7500  4 Gd 3.40, 4 Pu 3.40
Pu: 0.0000 0.0000 0.5000  4 Ho 3.40, 4 Tm 3.40
Pu: 0.0000 0.5000 0.0000  4 Ho 3.40, 4 Tm 3.40
Pu: 0.5000 0.0000 0.0000  4 Ho 3.40, 4 Tm 3.40
Pu: 0.5000 0.5000 0.5000  4 Ho 3.40, 4 Tm 3.40

As for the space-group type: F-43m (216). For the total magnetization, the calculation gives 56.06 μB/cell.

---

3.
RbGdHo2: optimized geometry, PBE-GGA.

Lattice parameters (Å, degrees): 5.6615 5.6615 21.1591 90.00 90.00 120.00
Closest atoms and distances in Å follow each position.
Fractional positions:
Rb: 0.0000 0.0000 0.0000  8 Ho 4.12-4.39
Rb: 0.3333 0.6667 0.6667  8 Ho 4.12-4.39
Rb: 0.6667 0.3333 0.3333  8 Ho 4.12-4.39
Gd: 0.0000 0.0000 0.5000  6 Ho 3.32
Gd: 0.3333 0.6667 0.1667  6 Ho 3.32
Gd: 0.6667 0.3333 0.8333  6 Ho 3.32
Ho: 0.0000 0.0000 0.1948  3 Gd 3.32, 3 Ho 3.48
Ho: 0.0000 0.0000 0.8052  3 Gd 3.32, 3 Ho 3.48
Ho: 0.3333 0.6667 0.4718  3 Gd 3.32, 3 Ho 3.48
Ho: 0.3333 0.6667 0.8615  3 Gd 3.32, 3 Ho 3.48
Ho: 0.6667 0.3333 0.1385  3 Gd 3.32, 3 Ho 3.48
Ho: 0.6667 0.3333 0.5282  3 Gd 3.32, 3 Ho 3.48

As for the space-group type: R-3m (166). For the total magnetization, the calculation gives 23.36 μB/cell.

---

4.
Gd2HoRh: optimized geometry, PBE-GGA.

Lattice parameters (Å, degrees): 3.6485 3.6485 31.4516 90.00 90.00 120.00
Closest atoms and distances in Å follow each position.
Fractional positions:
Gd: 0.0000 0.0000 0.1095  3 Rh 2.77
Gd: 0.0000 0.0000 0.8905  3 Rh 2.77
Gd: 0.3333 0.6667 0.5571  3 Rh 2.77
Gd: 0.3333 0.6667 0.7762  3 Rh 2.77
Gd: 0.6667 0.3333 0.2238  3 Rh 2.77
Gd: 0.6667 0.3333 0.4429  3 Rh 2.77
Ho: 0.0000 0.0000 0.0000  2 Gd 3.45, 6 Ho 3.65
Ho: 0.3333 0.6667 0.6667  2 Gd 3.45, 6 Ho 3.65
Ho: 0.6667 0.3333 0.3333  2 Gd 3.45, 6 Ho 3.65
Rh: 0.0000 0.0000 0.5000  6 Gd 2.77
Rh: 0.3333 0.6667 0.1667  6 Gd 2.77
Rh: 0.6667 0.3333 0.8333  6 Gd 2.77

As for the space-group type: R-3m (166). For the total magnetization, the calculation gives 45.37 μB/cell. The calculation puts the distance to the lowest polymorph of the same formula at 234 meV/atom.

---

5.
GdHo3Rh: optimized geometry, PBE-GGA.

Lattice parameters (Å, degrees): 5.3831 5.3831 5.3831 90.00 90.00 90.00
Closest atoms and distances in Å follow each position.
Fractional positions:
Gd: 0.0000 0.0000 0.0000  12 Ho 3.81
Ho: 0.0000 0.5000 0.5000  2 Rh 2.69
Ho: 0.5000 0.0000 0.5000  2 Rh 2.69
Ho: 0.5000 0.5000 0.0000  2 Rh 2.69
Rh: 0.5000 0.5000 0.5000  6 Ho 2.69

As for the space-group type: Pm-3m (221). For the total magnetization, the calculation gives 8.12 μB/cell.

---

6.
GdHoRh4: optimized geometry, PBE-GGA.

Lattice parameters (Å, degrees): 5.3424 5.3424 5.3424 60.00 60.00 60.00
Closest atoms and distances in Å follow each position.
Fractional positions:
Gd: 0.0000 0.0000 0.0000  12 Rh 3.13, 4 Ho 3.27
Ho: 0.2500 0.2500 0.2500  12 Rh 3.13, 4 Gd 3.27
Rh: 0.1254 0.6249 0.6249  6 Rh 2.67
Rh: 0.6249 0.1254 0.6249  6 Rh 2.67
Rh: 0.6249 0.6249 0.1254  6 Rh 2.67
Rh: 0.6249 0.6249 0.6249  6 Rh 2.67

As for the space-group type: F-43m (216). For the total magnetization, the calculation gives 7.05 μB/cell.

---

Computed values of E_tot (unit: eV/atom) for the preceding records, in sequence: -9.91; -9.19; -5.36; -10.15; -7.29; -8.74.